A relaxed structure of KErP4O12, computed with PBE.

POSCAR file:
```
KErP4O12
1.0
7.326 0.000 0.000
0.000 8.389 0.000
-0.199 0.000 7.914
K Er P O
2 2 8 24
Cartesian
1.649 0.000 2.240
5.478 4.195 5.674
1.761 5.797 5.996
5.366 1.603 1.918
0.294 0.541 7.197
0.741 3.711 3.156
2.774 2.291 7.146
3.548 4.512 3.025
3.579 0.317 4.889
4.353 6.486 0.768
6.386 7.906 4.759
6.833 4.735 0.717
0.079 2.415 2.805
0.194 4.883 2.175
0.334 4.980 7.564
0.684 4.208 4.566
1.115 7.686 7.349
1.232 1.847 7.111
2.274 3.590 2.679
2.365 7.824 4.886
2.827 3.668 6.565
3.290 5.316 4.267
3.538 2.033 0.600
3.548 5.482 1.749
3.579 1.287 6.165
3.589 6.228 7.314
3.837 1.121 3.647
4.300 7.863 1.349
4.762 3.629 3.028
4.853 7.785 5.235
5.895 6.041 0.803
6.012 3.492 0.565
6.443 0.013 3.348
6.793 0.786 0.350
6.933 0.689 5.740
7.048 6.609 5.110
```

Properties
Offset from the most stable computed form = 0.050 eV per formula unit
Uncorrected formation energy = -2.45 eV per atom
Magnetization = 0.000 μB/atom
Symmetry = P2_1, No. 4